Entry 1:
A plane-wave DFT calculation with GGA-PBE was carried out for an optimized crystal structure of BeTcOs2.

Cell lengths 2.8282, 4.4294, 4.3143 Å; angles 90.00, 90.00, 90.00 degrees
Element x y z (fractional)
Be 0.0000 0.5000 0.5000
Os 0.0000 0.0000 0.0000
Os 0.5000 0.5000 0.0000
Tc 0.5000 0.0000 0.5000

- space-group type = Pmmm, No. 47
- V (Å³ per atom) = 13.5
- uncorrected energy (eV for the cell shown) = -35.32

***

Entry 2:
A plane-wave DFT calculation with GGA-PBE was carried out for an optimized crystal structure of CuBi3As.

Cell lengths 5.2271, 5.2271, 5.2271 Å; angles 90.00, 90.00, 90.00 degrees
Element x y z (fractional)
As 0.5000 0.5000 0.5000
Bi 0.0000 0.5000 0.0000
Bi 0.0000 0.0000 0.5000
Bi 0.5000 0.0000 0.0000
Cu 0.0000 0.0000 0.0000

- space-group type = Pm-3m, No. 221
- V (Å³ per atom) = 28.6
- offset from the most stable computed form (meV per atom) = 0.0